PrNiS2O8: relaxed, PBE+U.

Unit cell a=5.1707 b=5.1707 c=7.0534 alpha=90.00 beta=90.00 gamma=120.00
With the nearest neighbours (Å) after each atom.
Positions (direct):
Pr 0.0000 0.0000 0.5000  6 O 2.54
Ni 0.0000 0.0000 0.0000  6 O 2.19
S 0.3333 0.6667 0.7175  4 O 1.49-1.51
S 0.6667 0.3333 0.2825  4 O 1.49-1.51
O 0.1752 0.3505 0.7830  1 S 1.49
O 0.1752 0.8247 0.7830  1 S 1.49
O 0.6495 0.8247 0.7830  1 S 1.49
O 0.3505 0.1753 0.2170  1 S 1.49
O 0.6667 0.3333 0.4964  1 S 1.51
O 0.3333 0.6667 0.5036  1 S 1.51
O 0.8248 0.6495 0.2170  1 S 1.49
O 0.8248 0.1753 0.2170  1 S 1.49

Values from the calculation:
Uncorrected energy, eV/atom: -6.207